First-principles (GGA-PBEsol) data for an optimized crystal structure of TaInTc2, as listed in Alexandria.

a = 4.4418 Å, b = 4.4418 Å, c = 3.2435 Å
α = 90.00°, β = 90.00°, γ = 90.00°
Positions (direct):
Ta  0.0000  0.0000  0.0000
In  0.5000  0.5000  0.0000
Tc  0.0000  0.5000  0.5000
Tc  0.5000  0.0000  0.5000

Computed properties:
Formation enthalpy at 0 K, meV per atom: -8
VASP energy, eV/atom: -9.525



First-principles (GGA-PBEsol) data for an optimized crystal structure of TaInTc2, as listed in Alexandria.

a = 2.9282 Å, b = 3.9573 Å, c = 5.6507 Å
α = 90.00°, β = 90.00°, γ = 90.00°
Positions (direct):
Ta  0.0000  0.0000  0.0000
In  0.5000  0.5000  0.7088
Tc  0.0000  0.0000  0.4398
Tc  0.5000  0.5000  0.2242

Computed properties:
Formation enthalpy at 0 K, meV per atom: 104
VASP energy, eV/atom: -9.412



First-principles (GGA-PBEsol) data for an optimized crystal structure of TaInTc2, as listed in Alexandria.

a = 2.8452 Å, b = 2.8452 Å, c = 8.7862 Å
α = 90.00°, β = 90.00°, γ = 112.27°
Positions (direct):
Ta  0.0000  0.0000  0.0000
In  0.0000  0.0000  0.5000
Tc  0.5000  0.5000  0.2365
Tc  0.5000  0.5000  0.7635

Computed properties:
Formation enthalpy at 0 K, meV per atom: 117
VASP energy, eV/atom: -9.399



First-principles (GGA-PBEsol) data for an optimized crystal structure of Ta3InTe, as listed in Alexandria.

a = 4.9556 Å, b = 4.9556 Å, c = 4.9556 Å
α = 90.00°, β = 90.00°, γ = 90.00°
Positions (direct):
Ta  0.0000  0.0000  0.5000
Ta  0.0000  0.5000  0.0000
Ta  0.5000  0.0000  0.0000
In  0.5000  0.5000  0.5000
Te  0.0000  0.0000  0.0000

Computed properties:
Formation energy from raw total energies, kcal/mol of atoms: 38.89
VASP energy, eV/atom: -7.146



First-principles (GGA-PBEsol) data for an optimized crystal structure of Ta2InTe, as listed in Alexandria.

a = 4.8372 Å, b = 4.8372 Å, c = 4.8372 Å
α = 60.00°, β = 60.00°, γ = 60.00°
Positions (direct):
Ta  0.0000  0.0000  0.0000
Ta  0.2500  0.2500  0.2500
In  0.5000  0.5000  0.5000
Te  0.7500  0.7500  0.7500

Computed properties:
Relative energy among the computed polymorphs, meV/atom: 149
Formation energy from raw total energies, kcal/mol of atoms: 12.07
VASP energy, eV/atom: -7.379



First-principles (GGA-PBEsol) data for an optimized crystal structure of Ta2InTe, as listed in Alexandria.

a = 3.4649 Å, b = 4.5701 Å, c = 4.9763 Å
α = 90.00°, β = 90.00°, γ = 90.00°
Positions (direct):
Ta  0.0000  0.0000  0.0000
Ta  0.5000  0.0000  0.5000
In  0.0000  0.5000  0.5000
Te  0.5000  0.5000  0.0000

Computed properties:
Relative energy among the computed polymorphs, meV/atom: 0
Formation energy from raw total energies, kcal/mol of atoms: 8.63
VASP energy, eV/atom: -7.529



First-principles (GGA-PBEsol) data for an optimized crystal structure of TaTlIn2, as listed in Alexandria.

a = 3.8006 Å, b = 3.8006 Å, c = 5.9393 Å
α = 90.00°, β = 90.00°, γ = 90.00°
Positions (direct):
Ta  0.0000  0.0000  0.0000
Tl  0.5000  0.5000  0.2477
In  0.0000  0.0000  0.5064
In  0.5000  0.5000  0.7722

Computed properties:
Relative energy among the computed polymorphs, meV/atom: 77
Formation enthalpy at 0 K, meV per atom: 393
VASP energy, eV/atom: -4.894



First-principles (GGA-PBEsol) data for an optimized crystal structure of TaTlIn2, as listed in Alexandria.

a = 5.5909 Å, b = 5.5909 Å, c = 5.2981 Å
α = 96.74°, β = 96.74°, γ = 31.46°
Positions (direct):
Ta  0.0000  0.0000  0.0000
Tl  0.7428  0.7428  0.2468
In  0.2661  0.2661  0.7721
In  0.5053  0.5053  0.5053

Computed properties:
Relative energy among the computed polymorphs, meV/atom: 1
Formation enthalpy at 0 K, meV per atom: 317
VASP energy, eV/atom: -4.970



First-principles (GGA-PBEsol) data for an optimized crystal structure of Ta2Tl2In, as listed in Alexandria.

a = 7.4244 Å, b = 7.4244 Å, c = 7.4244 Å
α = 148.41°, β = 148.41°, γ = 45.29°
Positions (direct):
Ta  0.0900  0.0900  0.0000
Ta  0.9100  0.9100  0.0000
Tl  0.2500  0.7500  0.5000
Tl  0.7500  0.2500  0.5000
In  0.5000  0.5000  0.0000

Computed properties:
Formation enthalpy at 0 K, meV per atom: 769
VASP energy, eV/atom: -5.900



First-principles (GGA-PBEsol) data for an optimized crystal structure of TaTlIn2, as listed in Alexandria.

a = 3.2721 Å, b = 4.2331 Å, c = 6.1733 Å
α = 90.00°, β = 90.00°, γ = 90.00°
Positions (direct):
Ta  0.0000  0.0000  0.0000
Tl  0.0000  0.0000  0.5000
In  0.5000  0.5000  0.2327
In  0.5000  0.5000  0.7673

Computed properties:
Relative energy among the computed polymorphs, meV/atom: 0
Formation enthalpy at 0 K, meV per atom: 316
VASP energy, eV/atom: -4.971



First-principles (GGA-PBEsol) data for an optimized crystal structure of TaTlIn2, as listed in Alexandria.

a = 5.0191 Å, b = 5.0191 Å, c = 5.0191 Å
α = 60.00°, β = 60.00°, γ = 60.00°
Positions (direct):
Ta  0.0000  0.0000  0.0000
Tl  0.2500  0.2500  0.2500
In  0.5000  0.5000  0.5000
In  0.7500  0.7500  0.7500

Computed properties:
Relative energy among the computed polymorphs, meV/atom: 415
Formation enthalpy at 0 K, meV per atom: 730
VASP energy, eV/atom: -4.556



First-principles (GGA-PBEsol) data for an optimized crystal structure of Y2TaIn, as listed in Alexandria.

a = 4.5685 Å, b = 4.5685 Å, c = 4.4552 Å
α = 90.00°, β = 90.00°, γ = 90.00°
Positions (direct):
Y  0.0000  0.5000  0.0000
Y  0.5000  0.0000  0.0000
Ta  0.0000  0.0000  0.5000
In  0.5000  0.5000  0.5000

Computed properties:
Formation enthalpy at 0 K, meV per atom: 47
VASP energy, eV/atom: -7.248



Q: Which of these has the lowest VASP energy?
A: number 1